# 1
NaRhPb3 GGA-PBEsol optimized geometry; DFT formation energy = 117.6 meV per atom; ρ = 8.45 g/cm3
1.0
5.276 0.000 0.000
0.000 5.276 0.000
0.000 0.000 5.276
Na Rh Pb
1 1 3
direct
0.000 0.000 0.000
0.500 0.500 0.500
0.000 0.500 0.500
0.500 0.000 0.500
0.500 0.500 0.000

=====

# 2
NaRh2Pb2 GGA-PBEsol optimized geometry; DFT formation energy = -38.5 meV per atom; energy above the most stable polymorph in this dataset = 0.00 eV per formula unit; ρ = 11.01 g/cm3
1.0
7.869 0.000 0.000
0.000 7.869 0.000
0.000 0.000 3.134
Na Rh Pb
2 4 4
direct
0.000 0.000 0.000
0.500 0.500 0.000
0.134 0.366 0.000
0.366 0.866 0.000
0.634 0.134 0.000
0.866 0.634 0.000
0.162 0.662 0.500
0.338 0.162 0.500
0.662 0.838 0.500
0.838 0.338 0.500

=====

# 3
NaSbRh2Pb GGA-PBEsol optimized geometry; ρ = 8.64 g/cm3; uncorrected formation energy = 1.305 eV/atom
1.0
4.712 0.000 0.000
0.000 4.712 0.000
0.000 0.000 4.826
Na Sb Rh Pb
1 1 2 1
direct
0.000 0.000 0.000
0.500 0.500 0.500
0.000 0.500 0.000
0.500 0.000 0.000
0.000 0.000 0.500

=====

# 4
NaPbS3 GGA-PBEsol optimized geometry; energy above the most stable polymorph in this dataset = 0.00 eV per formula unit; ρ = 3.91 g/cm3; uncorrected formation energy = 0.083 eV/atom
1.0
5.173 0.000 0.000
0.000 5.173 0.000
0.000 0.000 5.173
Na Pb S
1 1 3
direct
0.000 0.000 0.000
0.500 0.500 0.500
0.000 0.500 0.500
0.500 0.000 0.500
0.500 0.500 0.000

=====

# 5
NaPbS2 GGA-PBEsol optimized geometry; ρ = 4.00 g/cm3; uncorrected formation energy = -0.495 eV/atom
1.0
-3.111 3.111 6.310
3.111 -3.111 6.310
3.111 3.111 -6.310
Na Pb S
2 2 4
direct
0.000 0.000 0.000
0.750 0.250 0.500
0.250 0.750 0.500
0.500 0.500 0.000
0.145 0.625 0.020
0.375 0.395 0.520
0.605 0.125 0.980
0.875 0.855 0.480

=====

# 6
NaPbS3 GGA-PBEsol optimized geometry; energy above the most stable polymorph in this dataset = 1.70 eV per formula unit; ρ = 4.64 g/cm3; uncorrected formation energy = 0.422 eV/atom
1.0
4.890 0.000 0.000
0.000 4.890 0.000
0.000 0.000 4.890
Na Pb S
1 1 3
direct
0.000 0.000 0.000
0.500 0.500 0.500
0.000 0.000 0.500
0.000 0.500 0.000
0.500 0.000 0.000

=====

Question: The highest ρ belongs to which entry?
Answer: NaRh2Pb2

=====

Question: Look up the ρ of the fifth one.
Answer: 4.00 g/cm3

=====

Question: Look up the ρ of the fifth one.
Answer: 4.00 g/cm3

=====

Question: The lowest ρ belongs to which entry?
Answer: number 4